# AgIrPt2

Crystalline AgIrPt2 at its relaxed geometry (PBE, Alexandria via LeMat-Bulk).

a = 9.5326 Å, b = 9.5326 Å, c = 9.5326 Å
α = 16.79°, β = 16.79°, γ = 16.79°
Each line ends with the local moment (μB).
Fractional coordinates of all 4 atoms:
1 Pt 0.4968 0.4968 0.4968  0.05
2 Pt 0.0032 0.0032 0.0032  0.05
3 Ir 0.7500 0.7500 0.7500  0.38
4 Ag 0.2500 0.2500 0.2500  0.00

Results
- ΔE_f (eV/atom) = 0.048
- magnetization (μB/cell) = 0.5
- SG = No. 166
- crystal system = trigonal
- density of states at the Fermi level (states/eV/f.u.) = 4.4